Entry 1:
VASP calculation (PBE) on an optimized crystal structure of Ba2NiPN.

* DOS(E_F): 2.293 states/eV per cell
* space-group type: P4/mmm
* formation energy (no corrections): -578 meV per atom

Cell: 5.8228 5.8228 3.5379 Å, 90.00 90.00 90.00°
Sites, in units of the cell vectors:
Ba 0.0000 0.5000 0.0000
Ba 0.5000 0.0000 0.0000
Ni 0.0000 0.0000 0.5000
P 0.5000 0.5000 0.5000
N 0.0000 0.0000 0.0000

---

Entry 2:
VASP calculation (PBE) on an optimized crystal structure of Ba2Ni2P2N.

* DOS(E_F): 3.517 states/eV per cell
* space-group type: C2/m
* formation energy (no corrections): -650 meV per atom

Cell: 6.1400 6.1400 7.3345 Å, 122.39 122.39 37.95°
Sites, in units of the cell vectors:
Ba 0.0530 0.0530 0.3058
Ba 0.9470 0.9470 0.6942
Ni 0.3193 0.3193 0.9248
Ni 0.6807 0.6807 0.0752
P 0.2935 0.2935 0.2120
P 0.7065 0.7065 0.7880
N 0.5000 0.5000 0.0000

---

Entry 3:
VASP calculation (PBE) on an optimized crystal structure of BaPaNiN3.

* DOS(E_F): 7.505 states/eV per cell
* space-group type: P2_1/m
* formation energy (no corrections): -883 meV per atom

Cell: 7.6973 3.6142 7.7250 Å, 90.00 104.27 90.00°
Sites, in units of the cell vectors:
Ba 0.1917 0.2500 0.2294
Ba 0.8083 0.7500 0.7706
Pa 0.3332 0.7500 0.8382
Pa 0.6668 0.2500 0.1618
Ni 0.0691 0.2500 0.5941
Ni 0.9309 0.7500 0.4059
N 0.1564 0.2500 0.8598
N 0.1663 0.7500 0.5413
N 0.4617 0.7500 0.1376
N 0.5383 0.2500 0.8624
N 0.8337 0.2500 0.4587
N 0.8436 0.7500 0.1402

---

Entry 4:
VASP calculation (PBE) on an optimized crystal structure of Ba4Pa3NiN8.

* DOS(E_F): 3.640 states/eV per cell
* space-group type: C2/m
* formation energy (no corrections): -871 meV per atom

Cell: 7.3837 7.3837 7.4567 Å, 117.33 117.33 55.93°
Sites, in units of the cell vectors:
Ba 0.0000 0.0000 0.0000
Ba 0.0000 0.5000 0.0000
Ba 0.5000 0.0000 0.0000
Ba 0.5000 0.5000 0.0000
Pa 0.0000 0.0000 0.5000
Pa 0.0000 0.5000 0.5000
Pa 0.5000 0.0000 0.5000
Ni 0.5000 0.5000 0.5000
N 0.2253 0.2253 0.6811
N 0.2271 0.7153 0.6649
N 0.2290 0.2290 0.2953
N 0.2847 0.7729 0.3351
N 0.7153 0.2271 0.6649
N 0.7710 0.7710 0.7047
N 0.7729 0.2847 0.3351
N 0.7747 0.7747 0.3189

---

Entry 5:
VASP calculation (PBE) on an optimized crystal structure of Ba2NiPbN.

* DOS(E_F): 2.136 states/eV per cell
* space-group type: P4/mmm
* formation energy (no corrections): -387 meV per atom

Cell: 6.1690 6.1690 3.5684 Å, 90.00 90.00 90.00°
Sites, in units of the cell vectors:
Ba 0.0000 0.5000 0.0000
Ba 0.5000 0.0000 0.0000
Ni 0.0000 0.0000 0.5000
Pb 0.5000 0.5000 0.5000
N 0.0000 0.0000 0.0000

---

Entry 6:
VASP calculation (PBE) on an optimized crystal structure of Ba2NiPdN.

* DOS(E_F): 2.888 states/eV per cell
* space-group type: P4/mmm
* formation energy (no corrections): -442 meV per atom

Cell: 5.7594 5.7594 3.5768 Å, 90.00 90.00 90.00°
Sites, in units of the cell vectors:
Ba 0.0000 0.5000 0.0000
Ba 0.5000 0.0000 0.0000
Ni 0.0000 0.0000 0.5000
Pd 0.5000 0.5000 0.5000
N 0.0000 0.0000 0.0000

---

Entry 7:
VASP calculation (PBE) on an optimized crystal structure of BaPu2NiN4.

* DOS(E_F): 27.398 states/eV per cell
* space-group type: Cmcm
* formation energy (no corrections): -900 meV per atom

Cell: 6.1448 6.1448 11.5628 Å, 90.00 90.00 146.68°
Sites, in units of the cell vectors:
Ba 0.0970 0.9030 0.7500
Ba 0.9030 0.0970 0.2500
Pu 0.3672 0.6328 0.5559
Pu 0.3672 0.6328 0.9441
Pu 0.6328 0.3672 0.0559
Pu 0.6328 0.3672 0.4441
Ni 0.1740 0.8260 0.2500
Ni 0.8260 0.1740 0.7500
N 0.0000 0.0000 0.0000
N 0.0000 0.0000 0.5000
N 0.2494 0.7506 0.0987
N 0.2494 0.7506 0.4013
N 0.4063 0.5937 0.7500
N 0.5937 0.4063 0.2500
N 0.7506 0.2494 0.5987
N 0.7506 0.2494 0.9013

---

Entry 8:
VASP calculation (PBE) on an optimized crystal structure of Ba2ReNiN4.

* DOS(E_F): 9.320 states/eV per cell
* space-group type: Fddd
* formation energy (no corrections): -418 meV per atom

Cell: 11.5279 10.1918 6.3780 Å, 84.85 61.71 33.44°
Sites, in units of the cell vectors:
Ba 0.0473 0.0473 0.7027
Ba 0.2973 0.2973 0.9527
Ba 0.7027 0.7027 0.0473
Ba 0.9527 0.9527 0.2973
Re 0.3750 0.3750 0.3750
Re 0.6250 0.6250 0.6250
Ni 0.1250 0.1250 0.1250
Ni 0.8750 0.8750 0.8750
N 0.0051 0.3455 0.4377
N 0.2883 0.5623 0.6545
N 0.3455 0.0051 0.7117
N 0.4377 0.7117 0.0051
N 0.5623 0.2883 0.9949
N 0.6545 0.9949 0.2883
N 0.7117 0.4377 0.3455
N 0.9949 0.6545 0.5623

---

Entry 9:
VASP calculation (PBE) on an optimized crystal structure of Ba2NiRhN.

* DOS(E_F): 3.229 states/eV per cell
* space-group type: P4/mmm
* formation energy (no corrections): -198 meV per atom

Cell: 5.7604 5.7604 3.5106 Å, 90.00 90.00 90.00°
Sites, in units of the cell vectors:
Ba 0.0000 0.5000 0.0000
Ba 0.5000 0.0000 0.0000
Ni 0.0000 0.0000 0.5000
Rh 0.5000 0.5000 0.5000
N 0.0000 0.0000 0.0000

---

Entry 10:
VASP calculation (PBE) on an optimized crystal structure of Ba2NiRhN.

* DOS(E_F): 5.558 states/eV per cell
* space-group type: P4/mmm
* formation energy (no corrections): -148 meV per atom

Cell: 5.7356 5.7356 3.8018 Å, 90.00 90.00 90.00°
Sites, in units of the cell vectors:
Ba 0.0000 0.5000 0.0000
Ba 0.5000 0.0000 0.0000
Ni 0.0000 0.0000 0.5000
Rh 0.5000 0.5000 0.5000
N 0.5000 0.5000 0.0000

---

Entry 11:
VASP calculation (PBE) on an optimized crystal structure of BaNi2RhN.

* DOS(E_F): 6.695 states/eV per cell
* space-group type: P4/mmm
* formation energy (no corrections): 332 meV per atom

Cell: 4.0236 4.0236 4.6728 Å, 90.00 90.00 90.00°
Sites, in units of the cell vectors:
Ba 0.0000 0.0000 0.0000
Ni 0.0000 0.5000 0.5000
Ni 0.5000 0.0000 0.5000
Rh 0.5000 0.5000 0.0000
N 0.5000 0.5000 0.5000

---

Entry 12:
VASP calculation (PBE) on an optimized crystal structure of BaNiS2N.

* DOS(E_F): 3.654 states/eV per cell
* space-group type: P4/mmm
* formation energy (no corrections): -267 meV per atom

Cell: 5.0713 5.0713 3.6264 Å, 90.00 90.00 90.00°
Sites, in units of the cell vectors:
Ba 0.0000 0.0000 0.0000
Ni 0.5000 0.5000 0.5000
S 0.0000 0.5000 0.5000
S 0.5000 0.0000 0.5000
N 0.5000 0.5000 0.0000